PrErHgTe PBE relaxed; symmetry = R3m, No. 160; theoretical density = 8.70 Mg/m³; total energy = -4.06 eV per atom; E_form (uncorrected) = -3.5 eV per formula unit
1.0
-0.412 2.171 3.615
0.564 -1.951 3.719
7.648 1.866 2.234
Te Pr Er Hg
1 1 1 1
Direct
0.745 0.745 0.765
0.500 0.500 0.499
0.000 0.000 0.000
0.255 0.255 0.236